Record 1
VASP calculation (PBE) on a relaxed structure of Na2PtCl.

abc: 4.9775 4.9775 4.9775
angles: 60.00 60.00 60.00
Element x y z (fractional)
Na (0.2500, 0.2500, 0.2500)
Na (0.7500, 0.7500, 0.7500)
Pt (0.0000, 0.0000, 0.0000)
Cl (0.5000, 0.5000, 0.5000)

Values from the calculation:
- Magnetic moment: 0.224 μB/atom
- SG: No. 225



Record 2
VASP calculation (PBE) on a relaxed structure of NaPtCl.

abc: 3.6903 6.0689 6.0689
angles: 93.51 90.00 90.00
Element x y z (fractional)
Na (0.0000, 0.2217, 0.7783)
Na (0.0000, 0.7783, 0.2217)
Pt (0.0000, 0.6863, 0.6863)
Pt (0.5000, 0.4731, 0.4731)
Cl (0.0000, 0.2721, 0.2721)
Cl (0.5000, 0.8917, 0.8917)

Values from the calculation:
- Magnetic moment: 0.000 μB/atom
- SG: No. 38



Record 3
VASP calculation (PBE) on a relaxed structure of NaPtCl2.

abc: 7.6492 7.6492 7.6492
angles: 32.02 32.02 32.02
Element x y z (fractional)
Na (0.0000, 0.0000, 0.0000)
Pt (0.5000, 0.5000, 0.5000)
Cl (0.1161, 0.1161, 0.1161)
Cl (0.8839, 0.8839, 0.8839)

Values from the calculation:
- Magnetic moment: 0.250 μB/atom
- SG: No. 166



Number 1: raw formation energy -0.281 eV per atom, relative energy among the computed polymorphs 0.30 eV per formula unit. Number 2: raw formation energy -0.697 eV per atom, relative energy among the computed polymorphs 0.19 eV per formula unit. Number 3: raw formation energy -0.197 eV per atom, relative energy among the computed polymorphs 1.68 eV per formula unit.